# AcCdSbS | Alexandria via LeMat-Bulk | PBE | relaxed
# - Energy: -35.35 eV/cell
data_AcCdSbS
_cell_length_a 4.817
_cell_length_b 4.817
_cell_length_c 10.088
_cell_angle_alpha 90.00
_cell_angle_beta 90.00
_cell_angle_gamma 90.00
_space_group_name_H-M_alt 'P 4/n m m'
_space_group_IT_number 129
loop_
_space_group_symop_operation_xyz
'x,y,z'
'-x,-y,-z'
'-y+1/2,x,z'
'y+1/2,-x,-z'
'-x+1/2,-y+1/2,z'
'x+1/2,y+1/2,-z'
'y,-x+1/2,z'
'-y,x+1/2,-z'
'x+1/2,-y,-z'
'-x+1/2,y,z'
'-y,-x,-z'
'y,x,z'
'-x,y+1/2,-z'
'x,-y+1/2,z'
'y+1/2,x+1/2,-z'
'-y+1/2,-x+1/2,z'
loop_
_atom_site_label
_atom_site_type_symbol
_atom_site_fract_x
_atom_site_fract_y
_atom_site_fract_z
Ac1 Ac 0.250 0.250 0.160
Cd1 Cd 0.250 0.750 0.500
Sb1 Sb 0.250 0.250 0.680
S1 S 0.250 0.750 0.000

=====

# Ac2Tl3CdS6 | Alexandria via LeMat-Bulk | PBE | relaxed
# - Energy: -107.13 eV/cell
data_Ac2Tl3CdS6
_cell_length_a 7.475
_cell_length_b 12.733
_cell_length_c 7.684
_cell_angle_alpha 90.00
_cell_angle_beta 109.58
_cell_angle_gamma 90.00
_space_group_name_H-M_alt 'C 1 2/m 1'
_space_group_IT_number 12
loop_
_space_group_symop_operation_xyz
'x,y,z'
'-x,-y,-z'
'-x,y,-z'
'x,-y,z'
'x+1/2,y+1/2,z'
'-x+1/2,-y+1/2,-z'
'-x+1/2,y+1/2,-z'
'x+1/2,-y+1/2,z'
loop_
_atom_site_label
_atom_site_type_symbol
_atom_site_fract_x
_atom_site_fract_y
_atom_site_fract_z
Ac1 Ac 0.000 0.167 0.000
Tl1 Tl 0.000 0.000 0.500
Tl2 Tl 0.000 0.333 0.500
Cd1 Cd 0.000 0.500 0.000
S1 S 0.231 0.345 0.212
S2 S 0.243 0.000 0.233

=====

# Ac2TmCdS6 | Alexandria via LeMat-Bulk | PBE | relaxed
# - Energy: -109.43 eV/cell
data_Ac2TmCdS6
_cell_length_a 6.869
_cell_length_b 7.632
_cell_length_c 11.694
_cell_angle_alpha 90.00
_cell_angle_beta 123.52
_cell_angle_gamma 90.00
_space_group_name_H-M_alt 'P 1 21/c 1'
_space_group_IT_number 14
loop_
_space_group_symop_operation_xyz
'x,y,z'
'-x,-y,-z'
'-x,y+1/2,-z+1/2'
'x,-y+1/2,z+1/2'
loop_
_atom_site_label
_atom_site_type_symbol
_atom_site_fract_x
_atom_site_fract_y
_atom_site_fract_z
Ac1 Ac 0.207 0.099 0.245
Tm1 Tm 0.500 0.000 0.000
Cd1 Cd 0.000 0.000 0.500
S1 S 0.124 0.180 0.942
S2 S 0.266 0.692 0.939
S3 S 0.378 0.042 0.745

=====

# Ac2UCdS6 | Alexandria via LeMat-Bulk | PBE | relaxed
# - Energy: -182.15 eV/cell
data_Ac2UCdS6
_cell_length_a 7.2595
_cell_length_b 7.2595
_cell_length_c 18.3391
_cell_angle_alpha 90.00
_cell_angle_beta 90.00
_cell_angle_gamma 120.00
_space_group_name_H-M_alt 'R 3'
_space_group_IT_number 146
_space_group_name_Hall 'R 3'
loop_
_atom_site_label
_atom_site_type_symbol
_atom_site_fract_x
_atom_site_fract_y
_atom_site_fract_z
Ac1 Ac 0.0000 0.0000 0.0000
Ac2 Ac 0.0000 0.0000 0.4938
U1 U 0.0000 0.0000 0.7084
Cd1 Cd 0.0000 0.0000 0.2154
S1 S 0.0657 0.3444 0.7825
S2 S 0.0672 0.7101 0.2828

=====

# Ac2ZnCdS5 | Alexandria via LeMat-Bulk | PBE | relaxed
# - Energy: -178.16 eV/cell
data_Ac2ZnCdS5
_cell_length_a 4.118
_cell_length_b 17.391
_cell_length_c 11.889
_cell_angle_alpha 90.00
_cell_angle_beta 90.00
_cell_angle_gamma 90.00
_space_group_name_H-M_alt 'C m c 21'
_space_group_IT_number 36
loop_
_space_group_symop_operation_xyz
'x,y,z'
'-x,-y,z+1/2'
'-x,y,z'
'x,-y,z+1/2'
'x+1/2,y+1/2,z'
'-x+1/2,-y+1/2,z+1/2'
'-x+1/2,y+1/2,z'
'x+1/2,-y+1/2,z+1/2'
loop_
_atom_site_label
_atom_site_type_symbol
_atom_site_fract_x
_atom_site_fract_y
_atom_site_fract_z
Ac1 Ac 0.000 0.114 0.000
Ac2 Ac 0.000 0.131 0.614
Zn1 Zn 0.000 0.445 0.764
Cd1 Cd 0.000 0.208 0.322
S1 S 0.000 0.047 0.361
S2 S 0.000 0.288 0.977
S3 S 0.000 0.314 0.668
S4 S 0.000 0.359 0.311
S5 S 0.000 0.497 0.086

=====

# AcCdSb | Alexandria via LeMat-Bulk | PBE | relaxed
# - Energy: -41.63 eV/cell
# - Energy above the most stable polymorph in this dataset: 0.63 eV/f.u.
data_AcCdSb
_cell_length_a 7.761
_cell_length_b 7.761
_cell_length_c 7.761
_cell_angle_alpha 90.00
_cell_angle_beta 90.00
_cell_angle_gamma 90.00
_space_group_name_H-M_alt 'F -4 3 m'
_space_group_IT_number 216
_space_group_name_Hall 'F -4 2 3'
loop_
_atom_site_label
_atom_site_type_symbol
_atom_site_fract_x
_atom_site_fract_y
_atom_site_fract_z
Ac1 Ac 0.000 0.000 0.000
Cd1 Cd 0.250 0.250 0.750
Sb1 Sb 0.250 0.250 0.250